This record from Alexandria via LeMat-Bulk describes an optimized crystal structure of Li2TcIr. The functional is PBE.

Results
Calculated volume = 14.19 A^3/atom
DFT formation energy = 0.153 eV per atom
E = -22.442 eV/cell
Space-group type = I4/mmm

Cell: 5.1046 5.1046 5.1046 Å, 138.96 138.96 59.43°
Positions (direct):
Tc 0.2500 0.7500 0.5000
Li 0.5000 0.5000 0.0000
Ir 0.7500 0.2500 0.5000
Li 0.0000 0.0000 0.0000


This record from Alexandria via LeMat-Bulk describes an optimized crystal structure of LiTcIr. The functional is PBE.

Results
Calculated volume = 14.61 A^3/atom
DFT formation energy = 0.158 eV per atom
E = -20.666 eV/cell
Space-group type = Fmm2

Cell: 7.2725 7.0413 2.6755 Å, 84.14 74.40 21.47°
Positions (direct):
Tc 0.6620 0.6620 0.3380
Ir 0.0006 0.0006 0.9994
Li 0.3374 0.3374 0.6626


This record from Alexandria via LeMat-Bulk describes an optimized crystal structure of Li2TcIr. The functional is PBE.

Results
Calculated volume = 15.08 A^3/atom
DFT formation energy = 0.306 eV per atom
E = -43.662 eV/cell
Space-group type = I-42d

Cell: 3.5736 3.5736 9.7785 Å, 79.47 79.47 90.00°
Positions (direct):
Li 0.8750 0.8815 0.7500
Li 0.1185 0.6250 0.2500
Ir 0.0000 0.0000 0.0000
Ir 0.7500 0.2500 0.5000
Li 0.3750 0.3685 0.7500
Tc 0.5000 0.5000 0.0000
Li 0.6315 0.1250 0.2500
Tc 0.2500 0.7500 0.5000


This record from Alexandria via LeMat-Bulk describes an optimized crystal structure of Li2TcIr. The functional is PBE.

Results
Calculated volume = 14.16 A^3/atom
DFT formation energy = 0.175 eV per atom
E = -22.357 eV/cell
Space-group type = Cmmm

Cell: 5.0602 5.0602 2.5867 Å, 90.00 90.00 121.24°
Positions (direct):
Ir 0.0000 0.5000 0.5000
Li 0.0000 0.0000 0.0000
Li 0.5000 0.5000 0.0000
Tc 0.5000 0.0000 0.5000


This record from Alexandria via LeMat-Bulk describes an optimized crystal structure of Li2TcIr. The functional is PBE.

Results
Calculated volume = 12.59 A^3/atom
DFT formation energy = 0.127 eV per atom
E = -22.547 eV/cell
Space-group type = Imm2

Cell: 4.7637 4.7637 4.7637 Å, 144.16 126.23 66.32°
Positions (direct):
Li 0.9844 0.9844 0.0000
Tc 0.5069 0.5069 0.0000
Ir 0.2413 0.7413 0.5000
Li 0.7673 0.2673 0.5000


This record from Alexandria via LeMat-Bulk describes an optimized crystal structure of LiTc2Ir. The functional is PBE.

Results
Calculated volume = 14.59 A^3/atom
DFT formation energy = 0.168 eV per atom
E = -30.834 eV/cell
Space-group type = Cmm2

Cell: 2.6698 2.6698 9.1373 Å, 90.00 90.00 116.33°
Positions (direct):
Tc 0.0000 0.0000 0.0062
Ir 0.0000 0.0000 0.5016
Tc 0.5000 0.5000 0.2476
Li 0.5000 0.5000 0.7446


This record from Alexandria via LeMat-Bulk describes an optimized crystal structure of Li2TcIr. The functional is PBE.

Results
Calculated volume = 14.11 A^3/atom
DFT formation energy = 0.064 eV per atom
E = -22.797 eV/cell
Space-group type = Cmmm

Cell: 2.6206 2.6206 9.2400 Å, 90.00 90.00 117.22°
Positions (direct):
Tc 0.5000 0.5000 0.2500
Li 0.0000 0.0000 0.9911
Ir 0.5000 0.5000 0.7500
Li 0.0000 0.0000 0.5089


This record from Alexandria via LeMat-Bulk describes an optimized crystal structure of Li2TcIr. The functional is PBE.

Results
Calculated volume = 14.74 A^3/atom
DFT formation energy = 0.045 eV per atom
E = -22.874 eV/cell
Space-group type = P4mm

Cell: 2.8039 2.8039 7.4976 Å, 90.00 90.00 90.00°
Positions (direct):
Tc 0.0000 0.0000 0.5202
Li 0.5000 0.5000 0.2533
Li 0.0000 0.0000 0.9815
Ir 0.5000 0.5000 0.7450


This record from Alexandria via LeMat-Bulk describes an optimized crystal structure of Li2TcIr2. The functional is PBE.

Results
Calculated volume = 13.29 A^3/atom
DFT formation energy = 0.304 eV per atom
E = -60.790 eV/cell
Space-group type = P4/mbm

Cell: 6.8063 6.8063 2.8684 Å, 90.00 90.00 90.00°
Positions (direct):
Tc 0.0000 0.0000 0.0000
Tc 0.5000 0.5000 0.0000
Ir 0.6410 0.1410 0.0000
Li 0.8417 0.3417 0.5000
Li 0.1583 0.6583 0.5000
Li 0.6583 0.8417 0.5000
Li 0.3417 0.1583 0.5000
Ir 0.1410 0.3590 0.0000
Ir 0.3590 0.8590 0.0000
Ir 0.8590 0.6410 0.0000


This record from Alexandria via LeMat-Bulk describes an optimized crystal structure of LiTc2Ir. The functional is PBE.

Results
Calculated volume = 14.02 A^3/atom
DFT formation energy = 0.070 eV per atom
E = -31.226 eV/cell
Space-group type = Cm

Cell: 4.4946 4.4946 4.8753 Å, 85.61 85.61 34.83°
Positions (direct):
Tc 0.0001 0.0001 0.0034
Li 0.2449 0.2449 0.2593
Ir 0.4951 0.4951 0.4789
Tc 0.7599 0.7599 0.7584


This record from Alexandria via LeMat-Bulk describes an optimized crystal structure of LiTc2Ir. The functional is PBE.

Results
Calculated volume = 13.87 A^3/atom
DFT formation energy = 0.014 eV per atom
E = -31.452 eV/cell
Space-group type = Pmm2

Cell: 4.3128 2.6787 4.8033 Å, 89.99 90.00 90.00°
Positions (direct):
Li 0.5000 0.6257 0.7744
Tc 0.5000 0.1248 0.2667
Ir 0.0000 0.6247 0.4876
Tc 0.0000 0.1248 0.9713


This record from Alexandria via LeMat-Bulk describes an optimized crystal structure of Li2TcIr. The functional is PBE.

Results
Calculated volume = 14.30 A^3/atom
DFT formation energy = 0.009 eV per atom
E = -23.018 eV/cell
Space-group type = Cm

Cell: 4.5097 4.5097 4.9702 Å, 83.83 83.83 34.72°
Positions (direct):
Tc 0.5047 0.5047 0.4579
Ir 0.2521 0.2521 0.2838
Li 0.9928 0.9928 0.9791
Li 0.7504 0.7504 0.7792


This record from Alexandria via LeMat-Bulk describes an optimized crystal structure of Li2TcIr. The functional is PBE.

Results
Calculated volume = 14.06 A^3/atom
DFT formation energy = 0.013 eV per atom
E = -23.004 eV/cell
Space-group type = C2/m

Cell: 4.9209 4.9209 4.4357 Å, 77.68 77.68 32.48°
Positions (direct):
Li 0.9941 0.9941 0.0065
Li 0.5059 0.5059 0.4935
Tc 0.7500 0.7500 0.7500
Ir 0.2500 0.2500 0.2500


This record from Alexandria via LeMat-Bulk describes an optimized crystal structure of LiTcIr. The functional is PBE.

Results
Calculated volume = 16.06 A^3/atom
DFT formation energy = 0.246 eV per atom
E = -20.404 eV/cell
Space-group type = F-43m

Cell: 4.0845 4.0845 4.0845 Å, 60.00 60.00 60.00°
Positions (direct):
Li 0.0000 0.0000 0.0000
Tc 0.5000 0.5000 0.5000
Ir 0.7500 0.7500 0.7500


This record from Alexandria via LeMat-Bulk describes an optimized crystal structure of LiTc2Ir2. The functional is PBE.

Results
Calculated volume = 15.85 A^3/atom
DFT formation energy = -0.012 eV per atom
E = -80.856 eV/cell
Space-group type = P4/mbm

Cell: 7.6599 7.6599 2.7016 Å, 90.00 90.00 90.00°
Positions (direct):
Ir 0.1697 0.6697 0.5000
Ir 0.6697 0.8303 0.5000
Ir 0.8303 0.3303 0.5000
Ir 0.3303 0.1697 0.5000
Li 0.5000 0.5000 0.0000
Tc 0.1216 0.3784 0.0000
Tc 0.6216 0.1216 0.0000
Tc 0.3784 0.8784 0.0000
Tc 0.8784 0.6216 0.0000
Li 0.0000 0.0000 0.0000


This record from Alexandria via LeMat-Bulk describes an optimized crystal structure of LiTc2Ir. The functional is PBE.

Results
Calculated volume = 13.81 A^3/atom
DFT formation energy = 0.186 eV per atom
E = -30.762 eV/cell
Space-group type = P4/mmm

Cell: 4.1141 3.6648 3.6648 Å, 90.00 90.00 90.00°
Positions (direct):
Tc 0.0000 0.0000 0.0000
Ir 0.5000 0.5000 0.0000
Tc 0.0000 0.5000 0.5000
Li 0.5000 0.0000 0.5000


This record from Alexandria via LeMat-Bulk describes an optimized crystal structure of LiTc2Ir. The functional is PBE.

Results
Calculated volume = 14.77 A^3/atom
DFT formation energy = 0.292 eV per atom
E = -30.337 eV/cell
Space-group type = Cmmm

Cell: 2.6530 2.6530 9.3664 Å, 90.00 90.00 116.34°
Positions (direct):
Li 0.5000 0.5000 0.7500
Tc 0.0000 0.0000 0.0044
Tc 0.0000 0.0000 0.4956
Ir 0.5000 0.5000 0.2500


This record from Alexandria via LeMat-Bulk describes an optimized crystal structure of LiTc2Ir. The functional is PBE.

Results
Calculated volume = 13.69 A^3/atom
DFT formation energy = 0.306 eV per atom
E = -30.284 eV/cell
Space-group type = P4/mmm

Cell: 3.1707 3.1707 5.4461 Å, 90.00 90.00 90.00°
Positions (direct):
Li 0.5000 0.5000 0.7500
Tc 0.0000 0.0000 0.9692
Tc 0.0000 0.0000 0.5308
Ir 0.5000 0.5000 0.2500


This record from Alexandria via LeMat-Bulk describes an optimized crystal structure of LiTc2Ir. The functional is PBE.

Results
Calculated volume = 13.56 A^3/atom
DFT formation energy = 0.024 eV per atom
E = -31.410 eV/cell
Space-group type = Immm

Cell: 5.0053 5.0053 5.0053 Å, 144.54 131.08 61.86°
Positions (direct):
Li 0.2500 0.7500 0.5000
Tc 0.4949 0.4949 0.0000
Ir 0.7500 0.2500 0.5000
Tc 0.0051 0.0051 0.0000


This record from Alexandria via LeMat-Bulk describes an optimized crystal structure of LiTc2Ir. The functional is PBE.

Results
Calculated volume = 14.83 A^3/atom
DFT formation energy = 0.156 eV per atom
E = -30.884 eV/cell
Space-group type = R-3m

Cell: 9.3510 9.3510 9.3510 Å, 16.76 16.76 16.76°
Positions (direct):
Tc 0.5042 0.5042 0.5042
Tc 0.9958 0.9958 0.9958
Ir 0.2500 0.2500 0.2500
Li 0.7500 0.7500 0.7500